# 1
Density functional theory data (PBE) for CsLiNbF6 after structural relaxation.

```
data_CsLiNbF6
_cell_length_a 5.5787
_cell_length_b 5.5787
_cell_length_c 6.4192
_cell_angle_alpha 90.00
_cell_angle_beta 90.00
_cell_angle_gamma 120.00
_symmetry_space_group_name_H-M 'P 3 1 2'
_symmetry_Int_Tables_number 149
_symmetry_space_group_name_Hall 'P 3 2'
loop_
_atom_site_label
_atom_site_fract_x
_atom_site_fract_y
_atom_site_fract_z
_atom_site_occupancy
Cs1 0.0000 0.0000 0.0000 1
Li1 0.3333 0.6667 0.5000 1
Nb1 0.6667 0.3333 0.5000 1
F1 0.3913 0.0077 0.6715 1
```

Formation energy without anion corrections = -26.7 eV per formula unit

---

# 2
Density functional theory data (PBE) for Cs2LiNdF6 after structural relaxation.

```
data_Cs2LiNdF6
_cell_length_a 9.064
_cell_length_b 9.064
_cell_length_c 9.064
_cell_angle_alpha 90.00
_cell_angle_beta 90.00
_cell_angle_gamma 90.00
_symmetry_space_group_name_H-M 'F m -3 m'
_symmetry_Int_Tables_number 225
_symmetry_space_group_name_Hall '-F 4 2 3'
loop_
_atom_site_label
_atom_site_fract_x
_atom_site_fract_y
_atom_site_fract_z
_atom_site_occupancy
Cs1 0.250 0.250 0.250 1
Li1 0.000 0.000 0.000 1
Nd1 0.000 0.000 0.500 1
F1 0.000 0.000 0.246 1
```

Formation energy without anion corrections = -32.8 eV per formula unit

---

Number 1: total energy -5.643 eV per atom. Number 2: total energy -5.241 eV per atom.